(1)
Computed, not measured: FeAg after structural relaxation at the GGA-PBE level of DFT.

abc: 2.7266 2.7266 4.6635
angles: 90.00 90.00 120.00
Space group P-6m2 (No. 187)
Unique sites:
Fe1 0.0000 0.0000 0.0000 [1 per cell]
Ag1 0.6667 0.3333 0.5000 [1 per cell]

Properties
As for the density: 9.055 g/cm³. The total energy is -0.192 Ha/atom. The value obtained for the formation energy from the elements is 0.4230 eV per atom.


(2)
Computed, not measured: Fe2Ag after structural relaxation at the GGA-PBE level of DFT.

abc: 4.9291 4.9291 7.9866
angles: 90.00 90.00 120.00
Space group P6_3/mmc (No. 194)
Unique sites:
Fe1 0.0000 0.0000 0.0000 [2 per cell]
Fe2 0.1672 0.3344 0.2500 [6 per cell]
Ag1 0.3333 0.6667 0.5623 [4 per cell]

Properties
As for the density: 8.678 g/cm³. The total energy is -0.231 Ha/atom. The value obtained for the formation energy from the elements is 0.3100 eV per atom.


(3)
Computed, not measured: Fe2Ag after structural relaxation at the GGA-PBE level of DFT.

abc: 3.1271 4.2536 12.6866
angles: 90.00 90.00 90.00
Space group Fmmm (No. 69)
Unique sites:
Fe1 0.0000 0.0000 0.1782 [8 per cell]
Ag1 0.0000 0.0000 0.5000 [4 per cell]

Properties
As for the density: 8.642 g/cm³. The total energy is -0.232 Ha/atom. The value obtained for the formation energy from the elements is 0.2839 eV per atom.


(4)
Computed, not measured: FeAg after structural relaxation at the GGA-PBE level of DFT.

abc: 9.3996 2.8945 7.1246
angles: 90.00 110.81 90.00
Space group C2/m (No. 12)
Unique sites:
Fe1 0.0000 0.0000 0.0000 [2 per cell]
Fe2 0.1614 0.5000 0.8751 [4 per cell]
Ag1 0.0000 0.0000 0.5000 [2 per cell]
Ag2 0.1769 0.5000 0.3136 [4 per cell]

Properties
As for the density: 9.002 g/cm³. The total energy is -0.197 Ha/atom. The value obtained for the formation energy from the elements is 0.2922 eV per atom.


(5)
Computed, not measured: FeAg3 after structural relaxation at the GGA-PBE level of DFT.

abc: 2.8673 2.8673 28.0110
angles: 90.00 90.00 120.00
Space group R-3m (No. 166, hexagonal axes)
Unique sites:
Fe1 0.0000 0.0000 0.0000 [3 per cell]
Ag1 0.0000 0.0000 0.2540 [6 per cell]
Ag2 0.0000 0.0000 0.5000 [3 per cell]

Properties
As for the density: 9.478 g/cm³. The total energy is -0.146 Ha/atom. The value obtained for the formation energy from the elements is 0.2714 eV per atom.


(6)
Computed, not measured: FeAg after structural relaxation at the GGA-PBE level of DFT.

abc: 6.2265 6.2265 6.2265
angles: 90.00 90.00 90.00
Space group Fd-3m (No. 227, origin choice 2)
Unique sites:
Fe1 0.1250 0.1250 0.1250 [8 per cell]
Ag1 0.1250 0.1250 0.6250 [8 per cell]

Properties
As for the density: 9.009 g/cm³. The total energy is -0.191 Ha/atom. The value obtained for the formation energy from the elements is 0.4528 eV per atom.


(7)
Computed, not measured: FeAg after structural relaxation at the GGA-PBE level of DFT.

abc: 7.8306 7.8306 7.8306
angles: 90.00 90.00 90.00
Space group I-43m (No. 217)
Unique sites:
Fe1 0.1063 0.1063 0.1063 [8 per cell]
Ag1 0.2041 0.2041 0.7959 [8 per cell]

Properties
As for the density: 4.529 g/cm³. The total energy is -0.165 Ha/atom. The value obtained for the formation energy from the elements is 1.1575 eV per atom.


(8)
Computed, not measured: FeAg4 after structural relaxation at the GGA-PBE level of DFT.

abc: 4.8398 4.8398 4.8398
angles: 90.00 90.00 90.00
Space group Pm-3m (No. 221)
Unique sites:
Fe1 0.0000 0.0000 0.0000 [1 per cell]
Ag1 0.0000 0.0000 0.5000 [3 per cell]
Ag2 0.5000 0.5000 0.5000 [1 per cell]

Properties
As for the density: 7.138 g/cm³. Its energy above the most stable polymorph in this dataset is 683 meV/atom. The total energy is -0.111 Ha/atom. The value obtained for the formation energy from the elements is 0.9517 eV per atom.


(9)
Computed, not measured: FeAg after structural relaxation at the GGA-PBE level of DFT.

abc: 4.1764 4.1764 4.6395
angles: 90.00 90.00 120.00
Space group P6_3/mmc (No. 194)
Unique sites:
Fe1 0.0000 0.0000 0.0000 [2 per cell]
Ag1 0.3333 0.6667 0.2500 [2 per cell]

Properties
As for the density: 7.758 g/cm³. The total energy is -0.179 Ha/atom. The value obtained for the formation energy from the elements is 0.7782 eV per atom.


(10)
Computed, not measured: FeAg after structural relaxation at the GGA-PBE level of DFT.

abc: 2.7503 2.7503 9.2286
angles: 90.00 90.00 120.00
Space group P6_3/mmc (No. 194)
Unique sites:
Fe1 0.3333 0.6667 0.2500 [2 per cell]
Ag1 0.0000 0.0000 0.0000 [2 per cell]

Properties
As for the density: 8.993 g/cm³. The total energy is -0.192 Ha/atom. The value obtained for the formation energy from the elements is 0.4245 eV per atom.


(11)
Computed, not measured: FeAg after structural relaxation at the GGA-PBE level of DFT.

abc: 5.2187 5.2187 5.2187
angles: 90.00 90.00 90.00
Space group Fm-3m (No. 225)
Unique sites:
Fe1 0.0000 0.0000 0.0000 [4 per cell]
Ag1 0.0000 0.0000 0.5000 [4 per cell]

Properties
As for the density: 7.651 g/cm³. The total energy is -0.173 Ha/atom. The value obtained for the formation energy from the elements is 0.9611 eV per atom.


(12)
Computed, not measured: FeAg3 after structural relaxation at the GGA-PBE level of DFT.

abc: 2.8486 2.8486 9.4566
angles: 90.00 90.00 120.00
Space group P-6m2 (No. 187)
Unique sites:
Fe1 0.0000 0.0000 0.0000 [1 per cell]
Ag1 0.0000 0.0000 0.5000 [1 per cell]
Ag2 0.6667 0.3333 0.2375 [2 per cell]

Properties
As for the density: 9.481 g/cm³. The total energy is -0.147 Ha/atom. The value obtained for the formation energy from the elements is 0.2524 eV per atom.